5
Lattice="5.126 0.000 0.000 0.000 5.126 0.000 0.000 0.000 5.011" Properties=species:S:1:pos:R:3 comment="MnCrTe2F (GGA+U, relaxed)" volume_a3_per_atom=26.33 crystal_system=tetragonal density_g_cm3=4.81 energy_ev_per_atom=-4.36 pbc="T T T"
Mn 0.000 0.000 0.000
Cr 0.000 0.000 2.505
Te 0.000 2.563 0.000
Te 2.563 0.000 0.000
F 2.563 2.563 2.505